Entry 1:
A plane-wave DFT calculation with PBE was carried out for Si2AuCl after structural relaxation. Values from VASP.

Structure (Quantum ESPRESSO input):
```
&SYSTEM
  ibrav = 0, nat = 8, ntyp = 3
/
ATOMIC_SPECIES
Si 28.09 Si.upf
Au 196.97 Au.upf
Cl 35.45 Cl.upf
ATOMIC_POSITIONS angstrom
Si 0.000 0.000 0.000
Si 1.565 4.322 7.054
Si 2.072 2.334 5.947
Si 3.995 3.634 0.384
Au 3.960 3.819 7.294
Au 6.538 6.495 6.797
Cl 1.919 1.885 3.930
Cl 4.985 3.871 2.223
CELL_PARAMETERS angstrom
5.910 0.000 0.000
2.496 5.402 0.000
0.214 2.459 7.590
```

Results
space-group type	No. 1
calculated volume	121.15	Å³/f.u.
formation energy from raw total energies	-3.3	kcal/mol of atoms

Entry 2:
A plane-wave DFT calculation with PBE was carried out for Si2AuCl after structural relaxation. Values from VASP.

Structure (Quantum ESPRESSO input):
```
&SYSTEM
  ibrav = 0, nat = 4, ntyp = 3
/
ATOMIC_SPECIES
Si 28.09 Si.upf
Au 196.97 Au.upf
Cl 35.45 Cl.upf
ATOMIC_POSITIONS angstrom
Si 0.000 0.000 0.000
Si 1.940 1.123 0.704
Au 1.476 0.844 2.942
Cl 6.250 3.571 5.171
CELL_PARAMETERS angstrom
3.890 0.000 0.000
1.938 3.375 0.000
0.758 0.403 7.337
```

Results
space-group type	No. 1
calculated volume	96.33	Å³/f.u.
formation energy from raw total energies	-3.7	kcal/mol of atoms

Entry 3:
A plane-wave DFT calculation with PBE was carried out for Si2AuCl after structural relaxation. Values from VASP.

Structure (Quantum ESPRESSO input):
```
&SYSTEM
  ibrav = 0, nat = 4, ntyp = 3
/
ATOMIC_SPECIES
Si 28.09 Si.upf
Au 196.97 Au.upf
Cl 35.45 Cl.upf
ATOMIC_POSITIONS angstrom
Si 0.000 0.000 3.944
Si 0.000 0.000 13.971
Au 0.000 0.000 8.957
Cl 0.000 0.000 0.000
CELL_PARAMETERS angstrom
2.019 1.166 5.972
-2.019 1.166 5.972
0.000 -2.331 5.972
```

Results
space-group type	No. 166
calculated volume	84.30	Å³/f.u.
formation energy from raw total energies	3.5	kcal/mol of atoms

Entry 4:
A plane-wave DFT calculation with PBE was carried out for Si2AuCl after structural relaxation. Values from VASP.

Structure (Quantum ESPRESSO input):
```
&SYSTEM
  ibrav = 0, nat = 4, ntyp = 3
/
ATOMIC_SPECIES
Si 28.09 Si.upf
Au 196.97 Au.upf
Cl 35.45 Cl.upf
ATOMIC_POSITIONS angstrom
Si 0.000 0.000 0.000
Si 8.203 0.000 0.706
Au 1.808 0.000 2.628
Cl 4.833 0.000 2.814
CELL_PARAMETERS angstrom
6.637 -1.677 0.000
6.637 1.677 0.000
-0.338 0.000 4.009
```

Results
space-group type	No. 8
calculated volume	89.23	Å³/f.u.
formation energy from raw total energies	2.8	kcal/mol of atoms

Entry 5:
A plane-wave DFT calculation with PBE was carried out for Si2AuCl after structural relaxation. Values from VASP.

Structure (Quantum ESPRESSO input):
```
&SYSTEM
  ibrav = 0, nat = 4, ntyp = 3
/
ATOMIC_SPECIES
Si 28.09 Si.upf
Au 196.97 Au.upf
Cl 35.45 Cl.upf
ATOMIC_POSITIONS angstrom
Si 0.000 0.000 0.000
Si 0.000 1.833 3.094
Au 1.833 0.000 3.094
Cl 0.000 0.000 6.188
CELL_PARAMETERS angstrom
-1.833 1.833 6.188
1.833 -1.833 6.188
1.833 1.833 -6.188
```

Results
space-group type	No. 119
calculated volume	83.16	Å³/f.u.
formation energy from raw total energies	11.7	kcal/mol of atoms

Entry 6:
A plane-wave DFT calculation with PBE was carried out for Si2AuCl after structural relaxation. Values from VASP.

Structure (Quantum ESPRESSO input):
```
&SYSTEM
  ibrav = 0, nat = 8, ntyp = 3
/
ATOMIC_SPECIES
Si 28.09 Si.upf
Au 196.97 Au.upf
Cl 35.45 Cl.upf
ATOMIC_POSITIONS angstrom
Si 0.749 1.064 2.826
Si 0.755 0.901 0.425
Si 5.401 5.373 8.754
Si 5.407 5.211 6.352
Au 2.331 0.234 4.589
Au 2.326 2.903 0.000
Cl 2.254 3.121 6.140
Cl 3.902 3.153 3.039
CELL_PARAMETERS angstrom
3.157 0.000 0.000
1.494 5.807 0.000
1.505 0.468 9.179
```

Results
space-group type	No. 2
calculated volume	84.14	Å³/f.u.
formation energy from raw total energies	-3.8	kcal/mol of atoms

Entry 7:
A plane-wave DFT calculation with PBE was carried out for Si2AuCl after structural relaxation. Values from VASP.

Structure (Quantum ESPRESSO input):
```
&SYSTEM
  ibrav = 0, nat = 4, ntyp = 3
/
ATOMIC_SPECIES
Si 28.09 Si.upf
Au 196.97 Au.upf
Cl 35.45 Cl.upf
ATOMIC_POSITIONS angstrom
Si 0.000 0.000 0.000
Si 1.458 0.000 2.969
Au 0.000 2.196 2.969
Cl 1.458 2.196 0.000
CELL_PARAMETERS angstrom
2.917 0.000 0.000
0.000 4.392 0.000
0.000 0.000 5.937
```

Results
space-group type	No. 47
calculated volume	76.06	Å³/f.u.
formation energy from raw total energies	9.0	kcal/mol of atoms

Entry 8:
A plane-wave DFT calculation with PBE was carried out for Si2AuCl after structural relaxation. Values from VASP.

Structure (Quantum ESPRESSO input):
```
&SYSTEM
  ibrav = 0, nat = 4, ntyp = 3
/
ATOMIC_SPECIES
Si 28.09 Si.upf
Au 196.97 Au.upf
Cl 35.45 Cl.upf
ATOMIC_POSITIONS angstrom
Si 0.000 0.000 0.000
Si 2.007 0.000 1.669
Au 0.000 0.000 3.197
Cl 2.007 0.000 5.920
CELL_PARAMETERS angstrom
2.007 -2.431 0.000
2.007 2.431 0.000
0.000 0.000 7.692
```

Results
space-group type	No. 35
calculated volume	75.06	Å³/f.u.
formation energy from raw total energies	6.7	kcal/mol of atoms

> Look up the calculated volume of the second one.

96.33 Å³/f.u.

> What is the calculated volume in the fifth record?

83.16 Å³/f.u.

> Number 2 is which compound?

Si2AuCl

> What is the formation energy from raw total energies in the third record?

3.5 kcal/mol of atoms